Here is Gd4Mg3Co2 after structural relaxation from OQMD. Energies are from GGA-PBE.

abc: 7.4874 3.7415 8.1956
angles: 90.00 109.60 90.00
Fractional positions:
Gd 0.0974 0.0000 0.2271
Gd 0.3976 0.0000 0.6797
Gd 0.6024 0.0000 0.3203
Gd 0.9026 0.0000 0.7729
Mg 0.0000 0.5000 0.5000
Mg 0.2925 0.5000 0.0024
Mg 0.7075 0.5000 0.9976
Co 0.3508 0.5000 0.3936
Co 0.6492 0.5000 0.6064

## Properties
Total moment, μB/cell: 0.21
Energy, eV per formula unit: -38.83
Calculated volume, Å³ per atom: 24.03
Symmetry: P2/m